CsK2LiTl: relaxed, PBE.

Unit cell a=6.953 b=6.953 c=5.769 alpha=90.00 beta=90.00 gamma=90.00
Fractional coordinates of all 5 atoms:
Cs: 0.500 0.500 0.500
Tl: 0.000 0.000 0.000
K: 0.000 0.500 0.000
K: 0.500 0.000 0.000
Li: 0.000 0.000 0.500

Results
Final energy: -0.0524 Ha/atom
Excess energy over the best structure of this formula in the dataset: 0.0 kJ per mole of atoms
Crystal system: tetragonal
Formation enthalpy at 0 K: 0.04 eV/atom
Space-group type: P4/mmm, No. 123